[1]
Crystalline LiTiPdRh at its relaxed geometry. Source: Alexandria via LeMat-Bulk, functional PBE-GGA.

a = 6.079 Å, b = 6.079 Å, c = 6.079 Å
α = 90.00°, β = 90.00°, γ = 90.00°
Space group F-43m (No. 216)
One atom of each set of equivalent atoms:
Li1 0.000 0.000 0.000 x4
Ti1 0.000 0.000 0.500 x4
Pd1 0.250 0.250 0.750 x4
Rh1 0.250 0.250 0.250 x4

Values from the calculation:
Uncorrected energy (eV per cell): -99.02
Fermi-level density of states (states/eV per atom): 0.400
Crystal system: cubic
Volume (A^3/atom): 14.04
Energy of formation (kJ/mol of formula units): -232

[2]
Crystalline TbY2Pt at its relaxed geometry. Source: Alexandria via LeMat-Bulk, functional PBE-GGA.

a = 7.074 Å, b = 9.636 Å, c = 6.532 Å
α = 90.00°, β = 90.00°, γ = 90.00°
Space group Pnma (No. 62)
One atom of each set of equivalent atoms:
Tb1 0.027 0.250 0.133 x4
Y1 0.179 0.061 0.679 x8
Pt1 0.113 0.750 0.451 x4

Values from the calculation:
Uncorrected energy (eV per cell): -105.75
Fermi-level density of states (states/eV per atom): 1.115
Energy above the lowest structure with this stoichiometry (eV per atom): 0.000
Crystal system: orthorhombic
Volume (A^3/atom): 27.83
Energy of formation (kJ/mol of formula units): -274

Copy entry 2 word for word.
Crystalline TbY2Pt at its relaxed geometry. Source: Alexandria via LeMat-Bulk, functional PBE-GGA.

a = 7.074 Å, b = 9.636 Å, c = 6.532 Å
α = 90.00°, β = 90.00°, γ = 90.00°
Space group Pnma (No. 62)
One atom of each set of equivalent atoms:
Tb1 0.027 0.250 0.133 x4
Y1 0.179 0.061 0.679 x8
Pt1 0.113 0.750 0.451 x4

Values from the calculation:
Uncorrected energy (eV per cell): -105.75
Fermi-level density of states (states/eV per atom): 1.115
Energy above the lowest structure with this stoichiometry (eV per atom): 0.000
Crystal system: orthorhombic
Volume (A^3/atom): 27.83
Energy of formation (kJ/mol of formula units): -274

Question: Among the records above, which one has the lowest volume?
Answer: LiTiPdRh

Question: Among the records above, which one has the highest volume?
Answer: TbY2Pt

Question: Look up the Fermi-level density of states of the first one.
Answer: 0.400 states/eV per atom